Entry 1:
This record from Alexandria via LeMat-Bulk describes a relaxed structure of LaBeTcS2. The functional is PBE-GGA.

Properties
ΔE_f (raw)	0.21	eV/atom

```
data_LaBeTcS2
_chemical_formula_sum 'La1 Be1 Tc1 S2'
_cell_length_a 4.634
_cell_length_b 4.634
_cell_length_c 5.418
_cell_angle_alpha 90.00
_cell_angle_beta 90.00
_cell_angle_gamma 90.00
_symmetry_space_group_name_H-M 'P 4/m m m'
_symmetry_Int_Tables_number 123
_symmetry_space_group_name_Hall '-P 4 2'
loop_
_atom_site_label
_atom_site_type_symbol
_atom_site_fract_x
_atom_site_fract_y
_atom_site_fract_z
_atom_site_occupancy
La1 La 0.000 0.000 0.000 1
Be1 Be 0.500 0.500 0.000 1
Tc1 Tc 0.000 0.000 0.500 1
S1 S 0.000 0.500 0.500 1
```


Entry 2:
This record from Alexandria via LeMat-Bulk describes a relaxed structure of La3TiBeS7. The functional is PBE-GGA.

Properties
ΔE_f (raw)	-1.82	eV/atom

```
data_La3TiBeS7
_chemical_formula_sum 'La6 Ti2 Be2 S14'
_cell_length_a 10.3077
_cell_length_b 10.3077
_cell_length_c 5.8409
_cell_angle_alpha 90.00
_cell_angle_beta 90.00
_cell_angle_gamma 120.00
_symmetry_space_group_name_H-M 'P 63'
_symmetry_Int_Tables_number 173
_symmetry_space_group_name_Hall 'P 6c'
loop_
_atom_site_label
_atom_site_type_symbol
_atom_site_fract_x
_atom_site_fract_y
_atom_site_fract_z
_atom_site_occupancy
La1 La 0.1372 0.3913 0.0000 1
Ti1 Ti 0.0000 0.0000 0.2765 1
Be1 Be 0.3333 0.6667 0.4104 1
S1 S 0.0775 0.2237 0.5280 1
S2 S 0.1148 0.5972 0.2828 1
S3 S 0.3333 0.6667 0.7675 1
```


Entry 3:
This record from Alexandria via LeMat-Bulk describes a relaxed structure of LaBe2TlS. The functional is PBE-GGA.

Properties
ΔE_f (raw)	0.21	eV/atom

```
data_LaBe2TlS
_chemical_formula_sum 'La1 Be2 Tl1 S1'
_cell_length_a 4.393
_cell_length_b 4.393
_cell_length_c 6.176
_cell_angle_alpha 90.00
_cell_angle_beta 90.00
_cell_angle_gamma 90.00
_symmetry_space_group_name_H-M 'P 4/m m m'
_symmetry_Int_Tables_number 123
_symmetry_space_group_name_Hall '-P 4 2'
loop_
_atom_site_label
_atom_site_type_symbol
_atom_site_fract_x
_atom_site_fract_y
_atom_site_fract_z
_atom_site_occupancy
La1 La 0.000 0.000 0.000 1
Be1 Be 0.000 0.500 0.500 1
Tl1 Tl 0.500 0.500 0.500 1
S1 S 0.500 0.500 0.000 1
```


Entry 4:
This record from Alexandria via LeMat-Bulk describes a relaxed structure of La3BeVS7. The functional is PBE-GGA.

Properties
ΔE_f (raw)	-1.72	eV/atom

```
data_La3BeVS7
_chemical_formula_sum 'La6 Be2 V2 S14'
_cell_length_a 10.1473
_cell_length_b 10.1473
_cell_length_c 6.0068
_cell_angle_alpha 90.00
_cell_angle_beta 90.00
_cell_angle_gamma 120.00
_symmetry_space_group_name_H-M 'P 63'
_symmetry_Int_Tables_number 173
_symmetry_space_group_name_Hall 'P 6c'
loop_
_atom_site_label
_atom_site_type_symbol
_atom_site_fract_x
_atom_site_fract_y
_atom_site_fract_z
_atom_site_occupancy
La1 La 0.1429 0.3905 0.0000 1
Be1 Be 0.3333 0.6667 0.4126 1
V1 V 0.0000 0.0000 0.3080 1
S1 S 0.0805 0.2171 0.5608 1
S2 S 0.1113 0.5916 0.2854 1
S3 S 0.3333 0.6667 0.7632 1
```


Entry 5:
This record from Alexandria via LeMat-Bulk describes a relaxed structure of La3YbBeS7. The functional is PBE-GGA.

Properties
ΔE_f (raw)	-1.80	eV/atom

```
data_La3YbBeS7
_chemical_formula_sum 'La6 Yb2 Be2 S14'
_cell_length_a 10.2744
_cell_length_b 10.2744
_cell_length_c 6.1583
_cell_angle_alpha 90.00
_cell_angle_beta 90.00
_cell_angle_gamma 120.00
_symmetry_space_group_name_H-M 'P 63'
_symmetry_Int_Tables_number 173
_symmetry_space_group_name_Hall 'P 6c'
loop_
_atom_site_label
_atom_site_type_symbol
_atom_site_fract_x
_atom_site_fract_y
_atom_site_fract_z
_atom_site_occupancy
La1 La 0.1382 0.3933 0.0000 1
Yb1 Yb 0.0000 0.0000 0.2797 1
Be1 Be 0.3333 0.6667 0.4122 1
S1 S 0.0847 0.2445 0.5302 1
S2 S 0.1155 0.5947 0.2804 1
S3 S 0.3333 0.6667 0.7608 1
```


Entry 6:
This record from Alexandria via LeMat-Bulk describes a relaxed structure of La2BeSb. The functional is PBE-GGA.

Properties
ΔE_f (raw)	-0.50	eV/atom

```
data_La2BeSb
_chemical_formula_sum 'La2 Be1 Sb1'
_cell_length_a 4.617
_cell_length_b 4.147
_cell_length_c 6.270
_cell_angle_alpha 90.00
_cell_angle_beta 111.57
_cell_angle_gamma 90.00
_symmetry_space_group_name_H-M 'P 1 m 1'
_symmetry_Int_Tables_number 6
_symmetry_space_group_name_Hall 'P -2y'
loop_
_atom_site_label
_atom_site_type_symbol
_atom_site_fract_x
_atom_site_fract_y
_atom_site_fract_z
_atom_site_occupancy
La1 La 0.000 0.000 0.000 1
La2 La 0.292 0.500 0.585 1
Be1 Be 0.575 0.500 0.148 1
Sb1 Sb 0.705 0.000 0.412 1
```


Entry 7:
This record from Alexandria via LeMat-Bulk describes a relaxed structure of La2BeSb. The functional is PBE-GGA.

Properties
ΔE_f (raw)	-0.06	eV/atom

```
data_La2BeSb
_chemical_formula_sum 'La2 Be1 Sb1'
_cell_length_a 3.566
_cell_length_b 3.566
_cell_length_c 8.695
_cell_angle_alpha 90.00
_cell_angle_beta 90.00
_cell_angle_gamma 90.00
_symmetry_space_group_name_H-M 'P 4 m m'
_symmetry_Int_Tables_number 99
_symmetry_space_group_name_Hall 'P 4 -2'
loop_
_atom_site_label
_atom_site_type_symbol
_atom_site_fract_x
_atom_site_fract_y
_atom_site_fract_z
_atom_site_occupancy
La1 La 0.000 0.000 0.000 1
La2 La 0.500 0.500 0.370 1
Be1 Be 0.500 0.500 0.756 1
Sb1 Sb 0.000 0.000 0.634 1
```


Entry 8:
This record from Alexandria via LeMat-Bulk describes a relaxed structure of La2BeSb. The functional is PBE-GGA.

Properties
ΔE_f (raw)	-0.31	eV/atom

```
data_La2BeSb
_chemical_formula_sum 'La8 Be4 Sb4'
_cell_length_a 7.615
_cell_length_b 7.615
_cell_length_c 7.615
_cell_angle_alpha 90.00
_cell_angle_beta 90.00
_cell_angle_gamma 90.00
_symmetry_space_group_name_H-M 'F m -3 m'
_symmetry_Int_Tables_number 225
_symmetry_space_group_name_Hall '-F 4 2 3'
loop_
_atom_site_label
_atom_site_type_symbol
_atom_site_fract_x
_atom_site_fract_y
_atom_site_fract_z
_atom_site_occupancy
La1 La 0.250 0.250 0.250 1
Be1 Be 0.000 0.000 0.000 1
Sb1 Sb 0.000 0.000 0.500 1
```


Entry 9:
This record from Alexandria via LeMat-Bulk describes a relaxed structure of La2BeSb. The functional is PBE-GGA.

Properties
ΔE_f (raw)	-0.27	eV/atom

```
data_La2BeSb
_chemical_formula_sum 'La6 Be3 Sb3'
_cell_length_a 4.4237
_cell_length_b 4.4237
_cell_length_c 22.6507
_cell_angle_alpha 90.00
_cell_angle_beta 90.00
_cell_angle_gamma 120.00
_symmetry_space_group_name_H-M 'R -3 m'
_symmetry_Int_Tables_number 166
_symmetry_space_group_name_Hall '-R 3 2"'
loop_
_atom_site_label
_atom_site_type_symbol
_atom_site_fract_x
_atom_site_fract_y
_atom_site_fract_z
_atom_site_occupancy
La1 La 0.0000 0.0000 0.2478 1
Be1 Be 0.0000 0.0000 0.5000 1
Sb1 Sb 0.0000 0.0000 0.0000 1
```


Entry 10:
This record from Alexandria via LeMat-Bulk describes a relaxed structure of LaBeSb2. The functional is PBE-GGA.

Properties
ΔE_f (raw)	0.07	eV/atom

```
data_LaBeSb2
_chemical_formula_sum 'La4 Be4 Sb8'
_cell_length_a 7.454
_cell_length_b 7.454
_cell_length_c 7.454
_cell_angle_alpha 90.00
_cell_angle_beta 90.00
_cell_angle_gamma 90.00
_symmetry_space_group_name_H-M 'F -4 3 m'
_symmetry_Int_Tables_number 216
_symmetry_space_group_name_Hall 'F -4 2 3'
loop_
_atom_site_label
_atom_site_type_symbol
_atom_site_fract_x
_atom_site_fract_y
_atom_site_fract_z
_atom_site_occupancy
La1 La 0.000 0.000 0.000 1
Be1 Be 0.250 0.250 0.750 1
Sb1 Sb 0.000 0.000 0.500 1
Sb2 Sb 0.250 0.250 0.250 1
```


Entry 11:
This record from Alexandria via LeMat-Bulk describes a relaxed structure of LaBeSb2. The functional is PBE-GGA.

Properties
ΔE_f (raw)	0.04	eV/atom

```
data_LaBeSb2
_chemical_formula_sum 'La4 Be4 Sb8'
_cell_length_a 7.430
_cell_length_b 7.430
_cell_length_c 7.430
_cell_angle_alpha 90.00
_cell_angle_beta 90.00
_cell_angle_gamma 90.00
_symmetry_space_group_name_H-M 'F m -3 m'
_symmetry_Int_Tables_number 225
_symmetry_space_group_name_Hall '-F 4 2 3'
loop_
_atom_site_label
_atom_site_type_symbol
_atom_site_fract_x
_atom_site_fract_y
_atom_site_fract_z
_atom_site_occupancy
La1 La 0.000 0.000 0.000 1
Be1 Be 0.000 0.000 0.500 1
Sb1 Sb 0.250 0.250 0.250 1
```


Entry 12:
This record from Alexandria via LeMat-Bulk describes a relaxed structure of LaBeSb2. The functional is PBE-GGA.

Properties
ΔE_f (raw)	0.00	eV/atom

```
data_LaBeSb2
_chemical_formula_sum 'La1 Be1 Sb2'
_cell_length_a 3.335
_cell_length_b 3.335
_cell_length_c 9.512
_cell_angle_alpha 90.00
_cell_angle_beta 90.00
_cell_angle_gamma 90.00
_symmetry_space_group_name_H-M 'P 4 m m'
_symmetry_Int_Tables_number 99
_symmetry_space_group_name_Hall 'P 4 -2'
loop_
_atom_site_label
_atom_site_type_symbol
_atom_site_fract_x
_atom_site_fract_y
_atom_site_fract_z
_atom_site_occupancy
La1 La 0.000 0.000 0.000 1
Be1 Be 0.500 0.500 0.784 1
Sb1 Sb 0.000 0.000 0.642 1
Sb2 Sb 0.500 0.500 0.265 1
```


Entry 13:
This record from Alexandria via LeMat-Bulk describes a relaxed structure of LaBeSb2. The functional is PBE-GGA.

Properties
ΔE_f (raw)	-0.46	eV/atom

```
data_LaBeSb2
_chemical_formula_sum 'La4 Be4 Sb8'
_cell_length_a 7.592
_cell_length_b 7.592
_cell_length_c 7.218
_cell_angle_alpha 90.00
_cell_angle_beta 90.00
_cell_angle_gamma 90.00
_symmetry_space_group_name_H-M 'I -4 2 d'
_symmetry_Int_Tables_number 122
_symmetry_space_group_name_Hall 'I -4 2bw'
loop_
_atom_site_label
_atom_site_type_symbol
_atom_site_fract_x
_atom_site_fract_y
_atom_site_fract_z
_atom_site_occupancy
La1 La 0.000 0.000 0.000 1
Be1 Be 0.000 0.000 0.500 1
Sb1 Sb 0.167 0.250 0.625 1
```


Entry 14:
This record from Alexandria via LeMat-Bulk describes a relaxed structure of LaBeSb2. The functional is PBE-GGA.

Properties
ΔE_f (raw)	-0.10	eV/atom

```
data_LaBeSb2
_chemical_formula_sum 'La1 Be1 Sb2'
_cell_length_a 3.968
_cell_length_b 3.968
_cell_length_c 6.570
_cell_angle_alpha 90.00
_cell_angle_beta 90.00
_cell_angle_gamma 90.00
_symmetry_space_group_name_H-M 'P 4 m m'
_symmetry_Int_Tables_number 99
_symmetry_space_group_name_Hall 'P 4 -2'
loop_
_atom_site_label
_atom_site_type_symbol
_atom_site_fract_x
_atom_site_fract_y
_atom_site_fract_z
_atom_site_occupancy
La1 La 0.000 0.000 0.000 1
Be1 Be 0.500 0.500 0.626 1
Sb1 Sb 0.000 0.000 0.525 1
Sb2 Sb 0.500 0.500 0.242 1
```


Entry 15:
This record from Alexandria via LeMat-Bulk describes a relaxed structure of LaBeSb2. The functional is PBE-GGA.

Properties
ΔE_f (raw)	-0.12	eV/atom

```
data_LaBeSb2
_chemical_formula_sum 'La1 Be1 Sb2'
_cell_length_a 3.899
_cell_length_b 3.899
_cell_length_c 6.514
_cell_angle_alpha 90.00
_cell_angle_beta 90.00
_cell_angle_gamma 90.00
_symmetry_space_group_name_H-M 'P 4/m m m'
_symmetry_Int_Tables_number 123
_symmetry_space_group_name_Hall '-P 4 2'
loop_
_atom_site_label
_atom_site_type_symbol
_atom_site_fract_x
_atom_site_fract_y
_atom_site_fract_z
_atom_site_occupancy
La1 La 0.000 0.000 0.000 1
Be1 Be 0.000 0.000 0.500 1
Sb1 Sb 0.500 0.500 0.285 1
```


Entry 16:
This record from Alexandria via LeMat-Bulk describes a relaxed structure of LaBeSb2. The functional is PBE-GGA.

Properties
ΔE_f (raw)	-0.30	eV/atom

```
data_LaBeSb2
_chemical_formula_sum 'La1 Be1 Sb2'
_cell_length_a 4.406
_cell_length_b 3.982
_cell_length_c 6.398
_cell_angle_alpha 90.00
_cell_angle_beta 90.32
_cell_angle_gamma 90.00
_symmetry_space_group_name_H-M 'P 1 2/m 1'
_symmetry_Int_Tables_number 10
_symmetry_space_group_name_Hall '-P 2y'
loop_
_atom_site_label
_atom_site_type_symbol
_atom_site_fract_x
_atom_site_fract_y
_atom_site_fract_z
_atom_site_occupancy
La1 La 0.000 0.000 0.000 1
Be1 Be 0.500 0.000 0.500 1
Sb1 Sb 0.498 0.500 0.748 1
```


Entry 17:
This record from Alexandria via LeMat-Bulk describes a relaxed structure of La2BeSb. The functional is PBE-GGA.

Properties
ΔE_f (raw)	-0.07	eV/atom

```
data_La2BeSb
_chemical_formula_sum 'La4 Be2 Sb2'
_cell_length_a 4.388
_cell_length_b 5.892
_cell_length_c 8.864
_cell_angle_alpha 90.00
_cell_angle_beta 90.00
_cell_angle_gamma 90.00
_symmetry_space_group_name_H-M 'C m m 2'
_symmetry_Int_Tables_number 35
_symmetry_space_group_name_Hall 'C 2 -2'
loop_
_atom_site_label
_atom_site_type_symbol
_atom_site_fract_x
_atom_site_fract_y
_atom_site_fract_z
_atom_site_occupancy
La1 La 0.000 0.000 0.000 1
La2 La 0.000 0.500 0.371 1
Be1 Be 0.000 0.500 0.764 1
Sb1 Sb 0.000 0.000 0.630 1
```


Entry 18:
This record from Alexandria via LeMat-Bulk describes a relaxed structure of La2BeSb. The functional is PBE-GGA.

Properties
ΔE_f (raw)	-0.33	eV/atom

```
data_La2BeSb
_chemical_formula_sum 'La4 Be2 Sb2'
_cell_length_a 5.036
_cell_length_b 5.036
_cell_length_c 8.598
_cell_angle_alpha 90.00
_cell_angle_beta 90.00
_cell_angle_gamma 90.00
_symmetry_space_group_name_H-M 'I 4/m m m'
_symmetry_Int_Tables_number 139
_symmetry_space_group_name_Hall '-I 4 2'
loop_
_atom_site_label
_atom_site_type_symbol
_atom_site_fract_x
_atom_site_fract_y
_atom_site_fract_z
_atom_site_occupancy
La1 La 0.000 0.500 0.250 1
Be1 Be 0.000 0.000 0.000 1
Sb1 Sb 0.000 0.000 0.500 1
```


Entry 19:
This record from Alexandria via LeMat-Bulk describes a relaxed structure of La2BeSb. The functional is PBE-GGA.

Properties
ΔE_f (raw)	-0.42	eV/atom

```
data_La2BeSb
_chemical_formula_sum 'La4 Be2 Sb2'
_cell_length_a 11.782
_cell_length_b 3.996
_cell_length_c 4.901
_cell_angle_alpha 90.00
_cell_angle_beta 114.47
_cell_angle_gamma 90.00
_symmetry_space_group_name_H-M 'C 1 m 1'
_symmetry_Int_Tables_number 8
_symmetry_space_group_name_Hall 'C -2y'
loop_
_atom_site_label
_atom_site_type_symbol
_atom_site_fract_x
_atom_site_fract_y
_atom_site_fract_z
_atom_site_occupancy
La1 La 0.000 0.000 0.000 1
La2 La 0.221 0.000 0.723 1
Be1 Be 0.277 0.500 0.276 1
Sb1 Sb 0.427 0.000 0.427 1
```


Entry 20:
This record from Alexandria via LeMat-Bulk describes a relaxed structure of LaBeSb4. The functional is PBE-GGA.

Properties
ΔE_f (raw)	0.20	eV/atom

```
data_LaBeSb4
_chemical_formula_sum 'La4 Be4 Sb16'
_cell_length_a 8.806
_cell_length_b 8.806
_cell_length_c 8.806
_cell_angle_alpha 90.00
_cell_angle_beta 90.00
_cell_angle_gamma 90.00
_symmetry_space_group_name_H-M 'F -4 3 m'
_symmetry_Int_Tables_number 216
_symmetry_space_group_name_Hall 'F -4 2 3'
loop_
_atom_site_label
_atom_site_type_symbol
_atom_site_fract_x
_atom_site_fract_y
_atom_site_fract_z
_atom_site_occupancy
La1 La 0.000 0.000 0.000 1
Be1 Be 0.250 0.250 0.250 1
Sb1 Sb 0.124 0.124 0.624 1
```